A plane-wave DFT calculation with PBE-GGA was carried out for a relaxed structure of Li2ScAu.

The space group is R3m (No. 160, hexagonal axes) and the conventional cell measures 3.3131, 3.3131 and 26.5766 Å, with angles of 90.00, 90.00 and 120.00 degrees. The inequivalent atoms are Li at (0.0000, 0.0000, 0.0000), Li at (0.0000, 0.0000, 0.2452), Sc at (0.0000, 0.0000, 0.7627) and Au at (0.0000, 0.0000, 0.5060).

As for the offset from the most stable computed form: 18.9 kJ/mol of atoms.